# 1
The following is a PBE calculation of crystalline ZnFeAu2 at its relaxed geometry, from Alexandria via LeMat-Bulk.

The calculation puts the energy of formation from the pure elements at 0.08 eV per formula unit. The value obtained for the theoretical density is 13.6 g cm⁻³. As for the raw total energy: -4.05 eV/atom.

Cell lengths 4.6343, 2.8924, 4.7096 Å; angles 90.01, 90.00, 90.00 degrees
Atoms (fractional coordinates):
Zn: 0.5000 0.6241 0.8281
Au: 0.0000 0.1251 0.9174
Fe: 0.0000 0.6254 0.4187
Au: 0.5000 0.1255 0.3358

# 2
The following is a PBE calculation of crystalline Sr3Pr3HoSe8 at its relaxed geometry, from Alexandria via LeMat-Bulk.

The raw formation energy is -1.941 eV per atom. The value obtained for the theoretical density is 5.4 g cm⁻³. As for the raw total energy: -5.40 eV/atom.

Cell lengths 8.5507, 8.5515, 8.7431 Å; angles 119.28, 90.00, 120.00 degrees
Atoms (fractional coordinates):
Se: 0.2377 0.4753 0.7306
Pr: 0.5000 0.0000 0.5000
Se: 0.7624 0.0070 0.2695
Ho: 0.0000 0.0000 0.5000
Sr: 0.5000 0.5000 0.0000
Se: 0.7623 0.5247 0.2694
Pr: 0.5000 0.5000 0.5000
Se: 0.2376 0.9930 0.7305
Se: 0.7554 0.9930 0.7305
Se: 0.2446 0.0070 0.2695
Pr: 0.0000 0.5000 0.5000
Sr: 0.0000 0.5000 0.0000
Se: 0.2522 0.5044 0.2566
Sr: 0.0000 0.0000 0.0000
Se: 0.7478 0.4956 0.7434

# 3
The following is a PBE calculation of crystalline CsK6Au4 at its relaxed geometry, from Alexandria via LeMat-Bulk.

The calculation puts the energy of formation from the pure elements at -2.35 eV per formula unit. The value obtained for the theoretical density is 4.1 g cm⁻³. As for the raw total energy: -2.08 eV/atom.

Cell lengths 5.5257, 5.5257, 15.6565 Å; angles 100.16, 100.16, 90.00 degrees
Atoms (fractional coordinates):
Au: 0.8186 0.8186 0.6371
Au: 0.5463 0.5463 0.0927
K: 0.6148 0.1148 0.2296
K: 0.1148 0.6148 0.2296
K: 0.8852 0.3852 0.7704
Au: 0.4537 0.4537 0.9073
K: 0.2500 0.7500 0.5000
K: 0.3852 0.8852 0.7704
Cs: 0.0000 0.0000 0.0000
Au: 0.1814 0.1814 0.3629
K: 0.7500 0.2500 0.5000

raw total energy of number 3 (CsK6Au4)? -2.08 eV/atom